P) Below is a crystal of Li3P3W2O12 relaxed with PBEsol, with properties calculated at the SCAN level.

* calculated volume: 919.5 Å³/cell

Geometry as CIF:
```
data_Li3P3W2O12
_chemical_formula_sum 'Li12 P12 W8 O48'
_symmetry_space_group_name_H-M 'P 1 21/c 1'
_symmetry_Int_Tables_number 14
_symmetry_space_group_name_Hall '-P 2ybc'
_cell_length_a 8.505
_cell_length_b 8.896
_cell_length_c 14.816
_cell_angle_alpha 90.00
_cell_angle_beta 124.89
_cell_angle_gamma 90.00
loop_
_atom_site_label
_atom_site_fract_x
_atom_site_fract_y
_atom_site_fract_z
Li1 0.083 0.016 0.150
Li2 0.144 0.224 0.820
Li3 0.267 0.091 0.686
P1 0.032 0.249 0.988
P2 0.237 0.607 0.352
P3 0.459 0.116 0.346
W1 0.145 0.539 0.889
W2 0.363 0.532 0.609
O1 0.001 0.130 0.550
O2 0.129 0.181 0.436
O3 0.133 0.740 0.809
O4 0.134 0.011 0.755
O5 0.152 0.667 0.604
O6 0.174 0.138 0.079
O7 0.199 0.547 0.437
O8 0.249 0.072 0.306
O9 0.401 0.590 0.032
O10 0.438 0.212 0.821
O11 0.449 0.613 0.397
O12 0.487 0.524 0.221
```


Q) Below is a crystal of Li3P3W2O12 relaxed with PBEsol, with properties calculated at the SCAN level.

* calculated volume: 1435.0 Å³/cell

Geometry as CIF:
```
data_Li3P3W2O12
_chemical_formula_sum 'Li18 P18 W12 O72'
_symmetry_space_group_name_H-M 'R -3'
_symmetry_Int_Tables_number 148
_symmetry_space_group_name_Hall '-R 3'
_cell_length_a 8.4987
_cell_length_b 8.4987
_cell_length_c 22.9419
_cell_angle_alpha 90.00
_cell_angle_beta 90.00
_cell_angle_gamma 120.00
loop_
_atom_site_label
_atom_site_fract_x
_atom_site_fract_y
_atom_site_fract_z
Li1 0.0189 0.3802 0.2144
P1 0.0038 0.7093 0.2479
W1 0.0000 0.0000 0.1522
W2 0.0000 0.0000 0.3552
O1 0.0123 0.8124 0.3021
O2 0.0589 0.8373 0.5882
O3 0.0785 0.5677 0.8616
O4 0.0943 0.5659 0.5636
```


Consider the structures shown above. The least stable of them is P).